Record 1
# CsSi3F PBE-GGA optimized geometry
data_CsSi3F
_chemical_formula_sum 'Cs1 Si3 F1'
_space_group_name_H-M_alt 'P m -3 m'
_space_group_IT_number 221
_space_group_name_Hall '-P 4 2 3'
_cell_length_a 5.735
_cell_length_b 5.735
_cell_length_c 5.735
_cell_angle_alpha 90.00
_cell_angle_beta 90.00
_cell_angle_gamma 90.00
loop_
_atom_site_label
_atom_site_fract_x
_atom_site_fract_y
_atom_site_fract_z
_atom_site_occupancy
Cs1 0.000 0.000 0.000 1
Si1 0.000 0.000 0.500 1
F1 0.500 0.500 0.500 1
# **Volume**: 37.7 A^3/atom
# **Formation energy from raw total energies**: 2043.5 meV per atom

Record 2
# Ba5Ga6O14 PBE-GGA optimized geometry
data_Ba5Ga6O14
_chemical_formula_sum 'Ba20 Ga24 O56'
_space_group_name_H-M_alt 'C m c 21'
_space_group_IT_number 36
_cell_length_a 12.277
_cell_length_b 11.879
_cell_length_c 11.588
_cell_angle_alpha 90.00
_cell_angle_beta 90.00
_cell_angle_gamma 90.00
loop_
_space_group_symop_operation_xyz
'x,y,z'
'-x,-y,z+1/2'
'-x,y,z'
'x,-y,z+1/2'
'x+1/2,y+1/2,z'
'-x+1/2,-y+1/2,z+1/2'
'-x+1/2,y+1/2,z'
'x+1/2,-y+1/2,z+1/2'
loop_
_atom_site_label
_atom_site_fract_x
_atom_site_fract_y
_atom_site_fract_z
_atom_site_occupancy
Ba1 0.000 0.012 0.000 1
Ba2 0.144 0.335 0.043 1
Ba3 0.154 0.366 0.470 1
Ga1 0.000 0.199 0.280 1
Ga2 0.000 0.492 0.760 1
Ga3 0.136 0.154 0.738 1
Ga4 0.242 0.097 0.258 1
O1 0.000 0.156 0.667 1
O2 0.000 0.195 0.124 1
O3 0.000 0.355 0.316 1
O4 0.000 0.495 0.601 1
O5 0.127 0.144 0.357 1
O6 0.128 0.443 0.839 1
O7 0.150 0.151 0.895 1
O8 0.207 0.026 0.663 1
O9 0.216 0.276 0.671 1
# **Volume**: 16.9 A^3/atom
# **Formation energy from raw total energies**: -2255.9 meV per atom

Record 3
# CaLa12Al4N3 PBE-GGA optimized geometry
data_CaLa12Al4N3
_chemical_formula_sum 'Ca2 La24 Al8 N6'
_space_group_name_H-M_alt 'I m -3 m'
_space_group_IT_number 229
_space_group_name_Hall '-I 4 2 3'
_cell_length_a 10.289
_cell_length_b 10.289
_cell_length_c 10.289
_cell_angle_alpha 90.00
_cell_angle_beta 90.00
_cell_angle_gamma 90.00
loop_
_atom_site_label
_atom_site_fract_x
_atom_site_fract_y
_atom_site_fract_z
_atom_site_occupancy
Ca1 0.000 0.000 0.000 1
La1 0.000 0.000 0.270 1
La2 0.000 0.250 0.500 1
Al1 0.250 0.250 0.250 1
N1 0.000 0.000 0.500 1
# **Volume**: 27.2 A^3/atom
# **Formation energy from raw total energies**: -394.7 meV per atom

Record 4
# Hf2OsRh4 PBE-GGA optimized geometry
data_Hf2OsRh4
_chemical_formula_sum 'Hf4 Os2 Rh8'
_space_group_name_H-M_alt 'I 4/m m m'
_space_group_IT_number 139
_space_group_name_Hall '-I 4 2'
_cell_length_a 4.681
_cell_length_b 4.681
_cell_length_c 13.145
_cell_angle_alpha 90.00
_cell_angle_beta 90.00
_cell_angle_gamma 90.00
loop_
_atom_site_label
_atom_site_fract_x
_atom_site_fract_y
_atom_site_fract_z
_atom_site_occupancy
Hf1 0.000 0.000 0.124 1
Os1 0.000 0.000 0.500 1
Rh1 0.000 0.000 0.301 1
Rh2 0.000 0.500 0.000 1
# **Volume**: 20.6 A^3/atom
# **Final energy**: -113.05 eV/cell

Record 5
# Tb2Pr4Er PBE-GGA optimized geometry
data_Tb2Pr4Er
_chemical_formula_sum 'Tb4 Pr8 Er2'
_space_group_name_H-M_alt 'P 1 21/m 1'
_space_group_IT_number 11
_cell_length_a 6.259
_cell_length_b 6.727
_cell_length_c 11.733
_cell_angle_alpha 90.00
_cell_angle_beta 104.26
_cell_angle_gamma 90.00
loop_
_space_group_symop_operation_xyz
'x,y,z'
'-x,-y,-z'
'-x,y+1/2,-z'
'x,-y+1/2,z'
loop_
_atom_site_label
_atom_site_fract_x
_atom_site_fract_y
_atom_site_fract_z
_atom_site_occupancy
Tb1 0.107 0.250 0.494 1
Tb2 0.213 0.250 0.077 1
Pr1 0.145 0.011 0.784 1
Pr2 0.348 0.750 0.050 1
Pr3 0.460 0.750 0.635 1
Er1 0.354 0.750 0.338 1
# **Volume**: 34.2 A^3/atom
# **Final energy**: -64.16 eV/cell

Record 6
# Th2AlZn2 PBE-GGA optimized geometry
data_Th2AlZn2
_chemical_formula_sum 'Th4 Al2 Zn4'
_space_group_name_H-M_alt 'I m m m'
_space_group_IT_number 71
_space_group_name_Hall '-I 2 2'
_cell_length_a 4.182
_cell_length_b 5.789
_cell_length_c 9.434
_cell_angle_alpha 90.00
_cell_angle_beta 90.00
_cell_angle_gamma 90.00
loop_
_atom_site_label
_atom_site_fract_x
_atom_site_fract_y
_atom_site_fract_z
_atom_site_occupancy
Th1 0.000 0.000 0.212 1
Al1 0.000 0.500 0.000 1
Zn1 0.000 0.274 0.500 1
# **Volume**: 22.8 A^3/atom
# **Final energy**: -45.22 eV/cell

Record 7
# RbMgPtCl6 PBE-GGA optimized geometry
data_RbMgPtCl6
_chemical_formula_sum 'Rb2 Mg2 Pt2 Cl12'
_space_group_name_H-M_alt 'C 1 2 1'
_space_group_IT_number 5
_cell_length_a 6.631
_cell_length_b 10.947
_cell_length_c 7.469
_cell_angle_alpha 90.00
_cell_angle_beta 92.10
_cell_angle_gamma 90.00
loop_
_space_group_symop_operation_xyz
'x,y,z'
'-x,y,-z'
'x+1/2,y+1/2,z'
'-x+1/2,y+1/2,-z'
loop_
_atom_site_label
_atom_site_fract_x
_atom_site_fract_y
_atom_site_fract_z
_atom_site_occupancy
Rb1 0.000 0.000 0.000 1
Mg1 0.000 0.671 0.500 1
Pt1 0.000 0.329 0.500 1
Cl1 0.134 0.487 0.681 1
Cl2 0.173 0.181 0.677 1
Cl3 0.182 0.807 0.708 1
# **Volume**: 30.1 A^3/atom
# **Formation energy from raw total energies**: -1218.8 meV per atom

Record 8
# PrSm3Pd PBE-GGA optimized geometry
data_PrSm3Pd
_chemical_formula_sum 'Pr4 Sm12 Pd4'
_space_group_name_H-M_alt 'C 1 m 1'
_space_group_IT_number 8
_cell_length_a 12.396
_cell_length_b 3.848
_cell_length_c 13.706
_cell_angle_alpha 90.00
_cell_angle_beta 111.70
_cell_angle_gamma 90.00
loop_
_space_group_symop_operation_xyz
'x,y,z'
'x,-y,z'
'x+1/2,y+1/2,z'
'x+1/2,-y+1/2,z'
loop_
_atom_site_label
_atom_site_fract_x
_atom_site_fract_y
_atom_site_fract_z
_atom_site_occupancy
Pr1 0.000 0.000 0.000 1
Pr2 0.123 0.000 0.302 1
Sm1 0.108 0.000 0.615 1
Sm2 0.234 0.000 0.908 1
Sm3 0.270 0.500 0.150 1
Sm4 0.303 0.500 0.533 1
Sm5 0.429 0.000 0.385 1
Sm6 0.467 0.000 0.763 1
Pd1 0.268 0.500 0.761 1
Pd2 0.459 0.000 0.149 1
# **Volume**: 30.4 A^3/atom
# **Final energy**: -102.73 eV/cell

Record 9
# Tb3Pr2Nd3 PBE-GGA optimized geometry
data_Tb3Pr2Nd3
_chemical_formula_sum 'Tb6 Pr4 Nd6'
_space_group_name_H-M_alt 'C 1 2/m 1'
_space_group_IT_number 12
_cell_length_a 16.374
_cell_length_b 5.920
_cell_length_c 6.110
_cell_angle_alpha 90.00
_cell_angle_beta 111.41
_cell_angle_gamma 90.00
loop_
_space_group_symop_operation_xyz
'x,y,z'
'-x,-y,-z'
'-x,y,-z'
'x,-y,z'
'x+1/2,y+1/2,z'
'-x+1/2,-y+1/2,-z'
'-x+1/2,y+1/2,-z'
'x+1/2,-y+1/2,z'
loop_
_atom_site_label
_atom_site_fract_x
_atom_site_fract_y
_atom_site_fract_z
_atom_site_occupancy
Tb1 0.000 0.000 0.000 1
Tb2 0.129 0.000 0.579 1
Pr1 0.249 0.000 0.184 1
Nd1 0.000 0.500 0.500 1
Nd2 0.132 0.500 0.186 1
# **Volume**: 34.5 A^3/atom
# **Final energy**: -74.08 eV/cell

Record 10
# Nd4Mg2Zn PBE-GGA optimized geometry
data_Nd4Mg2Zn
_chemical_formula_sum 'Nd12 Mg6 Zn3'
_space_group_name_H-M_alt 'R -3 m'
_space_group_IT_number 166
_space_group_name_Hall '-R 3 2"'
_cell_length_a 5.3692
_cell_length_b 5.3692
_cell_length_c 26.0159
_cell_angle_alpha 90.00
_cell_angle_beta 90.00
_cell_angle_gamma 120.00
loop_
_atom_site_label
_atom_site_fract_x
_atom_site_fract_y
_atom_site_fract_z
_atom_site_occupancy
Nd1 0.0000 0.0000 0.1230 1
Nd2 0.0000 0.0000 0.3745 1
Mg1 0.0000 0.0000 0.2472 1
Zn1 0.0000 0.0000 0.5000 1
# **Volume**: 30.9 A^3/atom
# **Final energy**: -69.72 eV/cell

Record 11
# MgAg PBE-GGA optimized geometry
data_MgAg
_chemical_formula_sum 'Mg3 Ag3'
_space_group_name_H-M_alt 'R -3 m'
_space_group_IT_number 166
_space_group_name_Hall '-R 3 2"'
_cell_length_a 3.0739
_cell_length_b 3.0739
_cell_length_c 13.9621
_cell_angle_alpha 90.00
_cell_angle_beta 90.00
_cell_angle_gamma 120.00
loop_
_atom_site_label
_atom_site_fract_x
_atom_site_fract_y
_atom_site_fract_z
_atom_site_occupancy
Mg1 0.0000 0.0000 0.0000 1
Ag1 0.0000 0.0000 0.5000 1
# **Volume**: 19.0 A^3/atom
# **Final energy**: -13.96 eV/cell

Record 12
# BeSnMoOs2 PBE-GGA optimized geometry
data_BeSnMoOs2
_chemical_formula_sum 'Be1 Sn1 Mo1 Os2'
_space_group_name_H-M_alt 'P 4/m m m'
_space_group_IT_number 123
_space_group_name_Hall '-P 4 2'
_cell_length_a 4.818
_cell_length_b 4.818
_cell_length_c 4.942
_cell_angle_alpha 90.00
_cell_angle_beta 90.00
_cell_angle_gamma 90.00
loop_
_atom_site_label
_atom_site_fract_x
_atom_site_fract_y
_atom_site_fract_z
_atom_site_occupancy
Be1 0.000 0.000 0.000 1
Sn1 0.500 0.500 0.500 1
Mo1 0.500 0.500 0.000 1
Os1 0.000 0.500 0.500 1
# **Volume**: 22.9 A^3/atom
# **Final energy**: -27.10 eV/cell

- The lowest volume belongs to which entry?
  Ba5Ga6O14